A geometry-optimized TiCr3Br structure. Source: the Alexandria database, functional PBE-GGA.

abc: 4.4501 4.4501 4.4501
angles: 90.00 90.00 90.00
Positions (direct):
Cr 0.0000 0.0000 0.5000
Cr 0.5000 0.0000 0.0000
Cr 0.0000 0.5000 0.0000
Br 0.5000 0.5000 0.5000
Ti 0.0000 0.0000 0.0000

Output
* Fermi-level density of states: 2.52 states/eV per atom
* formation energy from raw total energies: 1.86 eV/atom
* ΔE to the lowest computed polymorph: 615 meV per atom
* V: 88 Å³ per cell
* M_tot: 0.00 μB per cell

A geometry-optimized Rb3PmTa2O9 structure. Source: the Alexandria database, functional PBE-GGA.

abc: 6.0420 6.0420 7.4384
angles: 90.00 90.00 120.00
Last column: magnetic moment on the atom in μB.
Positions (direct):
Rb 0.0000 0.0000 0.0000  0.00
O 0.5000 0.0000 0.0000  0.28
O 0.3592 0.1796 0.6912  0.17
O 0.1796 0.8204 0.3088  0.17
O 0.5000 0.5000 0.0000  0.28
O 0.0000 0.5000 0.0000  0.28
Rb 0.6667 0.3333 0.3328  0.00
O 0.8204 0.1796 0.6912  0.17
O 0.1796 0.3592 0.3088  0.17
O 0.6408 0.8204 0.3088  0.17
Ta 0.3333 0.6667 0.1636  -0.07
Rb 0.3333 0.6667 0.6672  0.00
Ta 0.6667 0.3333 0.8364  -0.07
O 0.8204 0.6408 0.6912  0.17
Pm 0.0000 0.0000 0.5000  -0.02

Output
* Fermi-level density of states: 0.46 states/eV per atom
* formation energy from raw total energies: -2.38 eV/atom
* V: 235 Å³ per cell
* M_tot: 2.07 μB per cell

A geometry-optimized SmYOs4 structure. Source: the Alexandria database, functional PBE-GGA.

abc: 5.3871 5.3871 5.3871
angles: 60.00 60.00 60.00
Positions (direct):
Os 0.6251 0.1247 0.6251
Sm 0.2500 0.2500 0.2500
Os 0.6251 0.6251 0.6251
Os 0.1247 0.6251 0.6251
Os 0.6251 0.6251 0.1247
Y 0.0000 0.0000 0.0000

Output
* Fermi-level density of states: 0.97 states/eV per atom
* V: 111 Å³ per cell
* formation energy: -0.205 eV per atom
* M_tot: 0.00 μB per cell

A geometry-optimized DyY4Er4 structure. Source: the Alexandria database, functional PBE-GGA.

abc: 4.9981 7.9193 7.9193
angles: 84.28 71.61 71.61
Positions (direct):
Y 0.3332 0.0002 0.3335
Y 0.6666 0.6665 0.0002
Dy 0.0000 0.0000 0.0000
Y 0.6668 0.9998 0.6665
Y 0.3334 0.3335 0.9998
Er 0.9999 0.3349 0.6652
Er 0.3349 0.6652 0.6651
Er 0.0001 0.6651 0.3348
Er 0.6651 0.3348 0.3349

Output
* Fermi-level density of states: 1.45 states/eV per atom
* ΔE to the lowest computed polymorph: 0 meV per atom
* V: 282 Å³ per cell
* formation energy: 0.025 eV per atom
* M_tot: 0.00 μB per cell

A geometry-optimized Ca2MnCd structure. Source: the Alexandria database, functional PBE-GGA.

abc: 3.6491 3.6491 8.4796
angles: 90.00 90.00 90.02
Last column: magnetic moment on the atom in μB.
Positions (direct):
Ca 0.5000 0.5000 0.3044  0.01
Ca 0.0000 0.0000 0.9442  -0.01
Cd 0.0000 0.0000 0.5516  -0.03
Mn 0.5000 0.5000 0.6998  3.88

Output
* Fermi-level density of states: 0.95 states/eV per atom
* V: 113 Å³ per cell
* formation energy: 0.130 eV per atom
* M_tot: 4.14 μB per cell

A geometry-optimized AcLa5Pm2Dy structure. Source: the Alexandria database, functional PBE-GGA.

abc: 9.2349 9.2349 10.1856
angles: 116.96 116.96 90.00
Positions (direct):
La 0.4315 0.3338 0.2653
La 0.0685 0.5685 0.7347
La 0.0000 0.0000 0.0000
La 0.8338 0.9315 0.2653
Pm 0.8851 0.6149 0.0000
Pm 0.3851 0.8851 0.0000
Pm 0.6149 0.1149 0.0000
Dy 0.7500 0.2500 0.5000
Pm 0.1149 0.3851 0.0000
La 0.1662 0.0685 0.7347
Ac 0.7500 0.7500 0.5000
Ac 0.2500 0.2500 0.5000
La 0.3338 0.8338 0.2653
La 0.5685 0.6662 0.7347
La 0.9315 0.4315 0.2653
La 0.6662 0.1662 0.7347
La 0.5000 0.5000 0.0000
Dy 0.2500 0.7500 0.5000

Output
* Fermi-level density of states: 1.71 states/eV per atom
* V: 667 Å³ per cell
* formation energy: 0.245 eV per atom
* M_tot: 0.00 μB per cell

A geometry-optimized SmSi3NiOs structure. Source: the Alexandria database, functional PBE-GGA.

abc: 5.5999 6.2097 7.0003
angles: 116.33 90.00 90.00
Positions (direct):
Os 0.2500 0.0440 0.0879
Si 0.2500 0.2213 0.4426
Si 0.0000 0.6952 0.0000
Ni 0.2500 0.3894 0.7789
Si 0.0000 0.3048 0.0000
Sm 0.7500 0.2569 0.5139
Os 0.7500 0.9560 0.9121
Si 0.7500 0.7787 0.5574
Si 0.5000 0.6952 0.0000
Ni 0.7500 0.6106 0.2211
Si 0.5000 0.3048 0.0000
Sm 0.2500 0.7431 0.4861

Output
* Fermi-level density of states: 0.45 states/eV per atom
* formation energy from raw total energies: -0.36 eV/atom
* V: 218 Å³ per cell
* M_tot: 0.00 μB per cell

A geometry-optimized Ac2PuSc structure. Source: the Alexandria database, functional PBE-GGA.

abc: 3.6520 3.6520 12.7850
angles: 81.79 81.79 60.00
Last column: magnetic moment on the atom in μB.
Positions (direct):
Sc 0.5000 0.5000 0.5000  0.04
Ac 0.9087 0.9087 0.2739  0.06
Pu 0.0000 0.0000 0.0000  5.88
Ac 0.0913 0.0913 0.7261  0.06

Output
* Fermi-level density of states: 3.14 states/eV per atom
* ΔE to the lowest computed polymorph: 208 meV per atom
* V: 146 Å³ per cell
* formation energy: 0.402 eV per atom
* M_tot: 6.91 μB per cell

A geometry-optimized SiBr2 structure. Source: the Alexandria database, functional PBE-GGA.

abc: 3.9738 3.9738 7.0879
angles: 90.00 90.00 120.00
Positions (direct):
Si 0.0000 0.0000 0.0000
Br 0.6667 0.3333 0.7776
Br 0.3333 0.6667 0.2224

Output
* Fermi-level density of states: 0.00 states/eV per atom
* formation energy from raw total energies: -0.26 eV/atom
* V: 97 Å³ per cell
* M_tot: 0.00 μB per cell

A geometry-optimized HfTh2WN5 structure. Source: the Alexandria database, functional PBE-GGA.

abc: 5.9339 6.6861 6.6861
angles: 90.00 90.00 90.00
Positions (direct):
N 0.7699 0.8497 0.3497
N 0.7699 0.3497 0.1503
Hf 0.0000 0.5000 0.5000
Th 0.5000 0.6696 0.1696
Hf 0.0000 0.0000 0.0000
W 0.0000 0.0000 0.5000
N 0.2301 0.8497 0.3497
N 0.7699 0.1503 0.6503
Th 0.5000 0.8304 0.6696
N 0.5000 0.0000 0.0000
N 0.2301 0.6503 0.8497
N 0.2301 0.1503 0.6503
Th 0.5000 0.3304 0.8304
N 0.7699 0.6503 0.8497
W 0.0000 0.5000 0.0000
N 0.5000 0.5000 0.5000
Th 0.5000 0.1696 0.3304
N 0.2301 0.3497 0.1503

Output
* Fermi-level density of states: 0.40 states/eV per atom
* formation energy from raw total energies: -0.71 eV/atom
* V: 265 Å³ per cell
* M_tot: 0.00 μB per cell

A geometry-optimized MgCuH2 structure. Source: the Alexandria database, functional PBE-GGA.

abc: 3.7668 3.7668 3.7668
angles: 60.00 60.00 60.00
Positions (direct):
H 0.7500 0.7500 0.7500
Cu 0.5000 0.5000 0.5000
H 0.2500 0.2500 0.2500
Mg 0.0000 0.0000 0.0000

Output
* Fermi-level density of states: 0.12 states/eV per atom
* electronic total energy: -2.7214 eV per atom
* V: 38 Å³ per cell
* M_tot: 0.00 μB per cell

A geometry-optimized BaZn3Rh structure. Source: the Alexandria database, functional PBE-GGA.

abc: 5.1404 8.4519 5.9887
angles: 90.00 101.91 90.00
Positions (direct):
Zn 0.7368 0.9884 0.9295
Rh 0.0203 0.7500 0.0755
Rh 0.9797 0.2500 0.9245
Ba 0.1688 0.7500 0.5931
Zn 0.7368 0.5116 0.9295
Zn 0.5408 0.7500 0.1354
Zn 0.2632 0.0116 0.0705
Zn 0.4592 0.2500 0.8646
Ba 0.8312 0.2500 0.4069
Zn 0.2632 0.4884 0.0705

Output
* Fermi-level density of states: 0.51 states/eV per atom
* ΔE to the lowest computed polymorph: 102 meV per atom
* V: 255 Å³ per cell
* formation energy: -0.254 eV per atom
* M_tot: 0.00 μB per cell

A geometry-optimized Ag3BrF structure. Source: the Alexandria database, functional PBE-GGA.

abc: 5.2452 5.2452 5.2452
angles: 90.00 90.00 90.00
Positions (direct):
Br 0.0000 0.0000 0.0000
Ag 0.0000 0.0000 0.5000
F 0.5000 0.5000 0.5000
Ag 0.5000 0.0000 0.0000
Ag 0.0000 0.5000 0.0000

Output
* Fermi-level density of states: 0.37 states/eV per atom
* formation energy from raw total energies: 0.18 eV/atom
* ΔE to the lowest computed polymorph: 389 meV per atom
* V: 144 Å³ per cell
* M_tot: 0.00 μB per cell

A geometry-optimized TaGeO6 structure. Source: the Alexandria database, functional PBE-GGA.

abc: 5.4299 5.4299 5.4299
angles: 60.00 60.00 60.00
Last column: magnetic moment on the atom in μB.
Positions (direct):
O 0.2432 0.7568 0.7568  0.45
O 0.7568 0.7568 0.2432  0.45
Ge 0.0000 0.0000 0.0000  -0.05
O 0.2432 0.7568 0.2432  0.45
O 0.2432 0.2432 0.7568  0.45
Ta 0.5000 0.5000 0.5000  -0.15
O 0.7568 0.2432 0.7568  0.45
O 0.7568 0.2432 0.2432  0.45

Output
* Fermi-level density of states: 0.73 states/eV per atom
* formation energy from raw total energies: -1.40 eV/atom
* V: 113 Å³ per cell
* M_tot: 3.03 μB per cell

A geometry-optimized HfScN2 structure. Source: the Alexandria database, functional PBE-GGA.

abc: 3.1763 3.1763 5.5272
angles: 90.00 90.00 120.00
Positions (direct):
Sc 0.0000 0.5000 0.0000
N 0.6667 0.8333 0.7411
N 0.3333 0.1667 0.2589
Hf 0.0000 0.5000 0.5000

Output
* Fermi-level density of states: 0.50 states/eV per atom
* formation energy from raw total energies: -1.56 eV/atom
* V: 48 Å³ per cell
* M_tot: 0.00 μB per cell

A geometry-optimized RbHf2MnCu structure. Source: the Alexandria database, functional PBE-GGA.

abc: 4.9730 4.2646 4.9730
angles: 90.00 90.00 90.00
Positions (direct):
Hf 0.0000 0.0000 0.5000
Hf 0.5000 0.0000 0.0000
Cu 0.5000 0.5000 0.5000
Mn 0.0000 0.5000 0.0000
Rb 0.0000 0.0000 0.0000

Output
* Fermi-level density of states: 1.32 states/eV per atom
* V: 105 Å³ per cell
* formation energy: 2.583 eV per atom
* M_tot: 0.00 μB per cell

A geometry-optimized CuH2Pd structure. Source: the Alexandria database, functional PBE-GGA.

abc: 4.0152 4.0152 5.2154
angles: 67.36 67.36 90.00
Positions (direct):
H 0.1322 0.6250 0.2500
Cu 0.2500 0.7500 0.5000
Pd 0.0000 0.0000 0.0000
H 0.6178 0.1250 0.2500
H 0.3750 0.3822 0.7500
Pd 0.7500 0.2500 0.5000
Cu 0.5000 0.5000 0.0000
H 0.8750 0.8678 0.7500

Output
* Fermi-level density of states: 0.22 states/eV per atom
* ΔE to the lowest computed polymorph: 0 meV per atom
* V: 71 Å³ per cell
* M_tot: 0.00 μB per cell

A geometry-optimized Sm4AgHg2 structure. Source: the Alexandria database, functional PBE-GGA.

abc: 8.0702 8.0702 8.0702
angles: 109.73 108.95 109.73
Positions (direct):
Sm 0.6239 0.7470 0.5192
Ag 0.0000 0.0000 0.0000
Hg 0.3750 0.8744 0.7494
Sm 0.1231 0.8952 0.3761
Sm 0.7722 0.2530 0.8769
Sm 0.4808 0.1048 0.2278
Hg 0.4994 0.3744 0.6250
Sm 0.6269 0.7530 0.0222
Sm 0.2692 0.2470 0.8739
Hg 0.2506 0.6256 0.1250
Ag 0.7500 0.5000 0.2500
Sm 0.1261 0.3952 0.3731
Hg 0.8750 0.1256 0.5006
Sm 0.9778 0.6048 0.7308

Output
* Fermi-level density of states: 1.22 states/eV per atom
* ΔE to the lowest computed polymorph: 10 meV per atom
* V: 405 Å³ per cell
* formation energy: -0.245 eV per atom
* M_tot: 0.00 μB per cell

A geometry-optimized Sm3SeN2 structure. Source: the Alexandria database, functional PBE-GGA.

abc: 3.8561 6.8231 9.9166
angles: 90.00 90.00 106.41
Last column: magnetic moment on the atom in μB.
Positions (direct):
N 0.0000 0.0000 0.5000  -0.01
Se 0.7442 0.4885 0.7500  0.00
Sm 0.6197 0.2394 0.4359  0.06
Sm 0.3803 0.7606 0.5641  0.06
Sm 0.6197 0.2394 0.0641  0.06
Sm 0.9381 0.8762 0.2500  0.02
Sm 0.0619 0.1238 0.7500  0.02
N 0.0000 0.0000 0.0000  -0.01
Sm 0.3803 0.7606 0.9359  0.06
Se 0.2558 0.5115 0.2500  0.00
N 0.5303 0.0606 0.2500  0.00
N 0.4697 0.9394 0.7500  0.00

Output
* Fermi-level density of states: 0.44 states/eV per atom
* formation energy from raw total energies: -1.45 eV/atom
* ΔE to the lowest computed polymorph: 0 meV per atom
* V: 250 Å³ per cell
* M_tot: 0.68 μB per cell

A geometry-optimized Na2TiInSe4 structure. Source: the Alexandria database, functional PBE-GGA.

abc: 3.8994 6.9492 7.2905
angles: 107.81 90.00 90.00
Last column: magnetic moment on the atom in μB.
Positions (direct):
Se 0.0000 0.7239 0.2129  -0.02
Na 0.0000 0.5000 0.5000  0.00
Ti 0.5000 0.5000 0.0000  0.69
Se 0.5000 0.2591 0.2159  0.00
Se 0.5000 0.7409 0.7841  0.00
Na 0.5000 0.0000 0.5000  0.00
In 0.0000 0.0000 0.0000  0.05
Se 0.0000 0.2761 0.7871  -0.02

Output
* Fermi-level density of states: 0.27 states/eV per atom
* formation energy from raw total energies: -0.97 eV/atom
* V: 188 Å³ per cell
* M_tot: 0.85 μB per cell

A geometry-optimized TaCrB2 structure. Source: the Alexandria database, functional PBE-GGA.

abc: 3.1430 3.0406 4.4576
angles: 90.00 110.57 90.00
Positions (direct):
B 0.0307 0.0000 0.5987
Cr 0.7226 0.0000 0.9853
B 0.1451 0.5000 0.8303
Ta 0.4327 0.5000 0.4036

Output
* Fermi-level density of states: 0.56 states/eV per atom
* V: 40 Å³ per cell
* formation energy: -0.603 eV per atom
* M_tot: 0.00 μB per cell

A geometry-optimized CdAgRu structure. Source: the Alexandria database, functional PBE-GGA.

abc: 5.0731 5.0731 5.0731
angles: 148.71 129.98 60.19
Positions (direct):
Cd 0.3315 0.3315 0.0000
Ru 0.6656 0.6656 0.0000
Ag 0.0029 0.0029 0.0000

Output
* Fermi-level density of states: 0.85 states/eV per atom
* ΔE to the lowest computed polymorph: 367 meV per atom
* V: 52 Å³ per cell
* formation energy: 0.435 eV per atom
* M_tot: 0.00 μB per cell

A geometry-optimized LiTbZn6Cu structure. Source: the Alexandria database, functional PBE-GGA.

abc: 6.8364 8.6987 7.7474
angles: 124.15 116.18 90.00
Positions (direct):
Zn 0.9339 0.6148 0.2489
Cu 0.5000 0.5000 0.0000
Li 0.0000 0.0000 0.5000
Zn 0.4234 0.1734 0.8468
Zn 0.3150 0.1341 0.2489
Zn 0.3150 0.6148 0.2489
Tb 0.2993 0.5493 0.5986
Zn 0.0069 0.7569 0.0138
Zn 0.6850 0.8659 0.7511
Tb 0.7007 0.4507 0.4014
Zn 0.0661 0.3852 0.7511
Zn 0.5766 0.8266 0.1532
Zn 0.6850 0.3852 0.7511
Zn 0.0661 0.8659 0.7511
Li 0.5000 0.0000 0.5000
Zn 0.9931 0.2431 0.9862
Zn 0.9339 0.1341 0.2489
Cu 0.5000 0.0000 0.0000

Output
* Fermi-level density of states: 0.62 states/eV per atom
* V: 323 Å³ per cell
* formation energy: -0.021 eV per atom
* M_tot: 0.00 μB per cell

A geometry-optimized CrHg2 structure. Source: the Alexandria database, functional PBE-GGA.

abc: 3.2822 7.7519 5.1650
angles: 90.00 90.00 90.00
Last column: magnetic moment on the atom in μB.
Positions (direct):
Hg 0.5000 0.3124 0.0001  0.00
Hg 0.5000 0.6876 0.9999  0.00
Cr 0.5000 0.5000 0.5000  3.80
Hg 0.0000 0.8124 0.4999  0.00
Hg 0.0000 0.1876 0.5001  0.00
Cr 0.0000 0.0000 0.0000  3.80

Output
* Fermi-level density of states: 0.62 states/eV per atom
* V: 131 Å³ per cell
* formation energy: 0.447 eV per atom
* M_tot: 8.45 μB per cell